! Ho6Tm (PBE, optimized geometry); values from VASP
&SYSTEM
  ibrav = 0, nat = 7, ntyp = 2
/
ATOMIC_SPECIES
Ho 164.93 Ho.upf
Tm 168.93 Tm.upf
ATOMIC_POSITIONS crystal
Ho 0.2500 0.7500 0.5000
Ho 0.5000 0.7500 0.2500
Ho 0.2500 0.5000 0.7500
Ho 0.7500 0.2500 0.5000
Ho 0.5000 0.2500 0.7500
Ho 0.7500 0.5000 0.2500
Tm 0.0000 0.0000 0.0000
CELL_PARAMETERS angstrom
6.9205 0.0000 0.0000
-2.3068 6.5247 0.0000
-2.3068 -3.2623 5.6505
! Energy relative to the lowest polymorph listed for this composition ... 1296 meV/atom
! Energy of formation from the pure elements ... 1.57 eV per atom

---

! Er12Ga9Ge11 (PBE, optimized geometry); values from VASP
&SYSTEM
  ibrav = 0, nat = 32, ntyp = 3
/
ATOMIC_SPECIES
Er 167.26 Er.upf
Ga 69.72 Ga.upf
Ge 72.64 Ge.upf
ATOMIC_POSITIONS crystal
Er 0.6506 0.6506 0.0000
Er 0.6579 0.6579 0.5000
Er 0.3457 0.3457 0.2493
Er 0.3457 0.3457 0.7507
Er 0.1982 0.7988 0.1249
Er 0.2006 0.8037 0.6252
Er 0.1982 0.7988 0.8751
Er 0.2006 0.8037 0.3748
Er 0.7988 0.1982 0.1249
Er 0.8037 0.2006 0.6252
Er 0.8037 0.2006 0.3748
Er 0.7988 0.1982 0.8751
Ga 0.3135 0.3135 0.9020
Ga 0.3247 0.3247 0.3995
Ga 0.6797 0.6797 0.3498
Ga 0.6780 0.6780 0.8506
Ga 0.3135 0.3135 0.0980
Ga 0.3247 0.3247 0.6005
Ga 0.6780 0.6780 0.1494
Ga 0.6797 0.6797 0.6502
Ga 0.0375 0.0375 0.0000
Ge 0.4952 0.0861 0.0000
Ge 0.4988 0.0941 0.5000
Ge 0.9107 0.5047 0.2496
Ge 0.9107 0.5047 0.7504
Ge 0.5047 0.9107 0.2496
Ge 0.5047 0.9107 0.7504
Ge 0.0861 0.4952 0.0000
Ge 0.0941 0.4988 0.5000
Ge 0.0449 0.0449 0.5000
Ge 0.9589 0.9589 0.2497
Ge 0.9589 0.9589 0.7503
CELL_PARAMETERS angstrom
-1.0125 3.7248 4.5669
-2.2363 -5.1820 1.9753
16.7532 -4.4351 7.3315
! Energy of formation from the pure elements ... -0.72 eV per atom

---

- Look up the energy of formation from the pure elements of the first one.
  1.57 eV per atom